No. 1
Compound: La3Ag2Au
Source: Alexandria
Functional: GGA-PBE
Structure: relaxed

CIF file:
```
data_La3Ag2Au
_cell_length_a 3.793
_cell_length_b 3.793
_cell_length_c 11.526
_cell_angle_alpha 90.00
_cell_angle_beta 90.00
_cell_angle_gamma 90.00
_space_group_name_H-M_alt 'P 4/m m m'
_space_group_IT_number 123
_space_group_name_Hall '-P 4 2'
loop_
_atom_site_label
_atom_site_fract_x
_atom_site_fract_y
_atom_site_fract_z
La1 0.000 0.000 0.000
La2 0.000 0.000 0.339
Ag1 0.500 0.500 0.166
Au1 0.500 0.500 0.500
```

***

No. 2
Compound: AcMgAg2
Source: Alexandria
Functional: GGA-PBE
Structure: relaxed

CIF file:
```
data_AcMgAg2
_cell_length_a 5.296
_cell_length_b 5.296
_cell_length_c 3.730
_cell_angle_alpha 90.00
_cell_angle_beta 90.00
_cell_angle_gamma 90.00
_space_group_name_H-M_alt 'P 4/m m m'
_space_group_IT_number 123
_space_group_name_Hall '-P 4 2'
loop_
_atom_site_label
_atom_site_fract_x
_atom_site_fract_y
_atom_site_fract_z
Ac1 0.000 0.000 0.000
Mg1 0.500 0.500 0.000
Ag1 0.000 0.500 0.500
```

***

In order of appearance, VASP energy = -4.3985 -2.9335 eV per atom.
In order of appearance, calculated formation energy = -10.10 -1.89 kcal/mol of atoms.